Record 1
A plane-wave DFT calculation with PBE-GGA was carried out for TlRu3C after structural relaxation.

Geometry as CIF:
```
data_TlRu3C
_space_group_name_H-M_alt 'P 1'
_space_group_IT_number 1
_cell_length_a 4.133
_cell_length_b 4.133
_cell_length_c 4.133
_cell_angle_alpha 90.00
_cell_angle_beta 90.00
_cell_angle_gamma 90.00
loop_
_space_group_symop_operation_xyz
'x,y,z'
loop_
_atom_site_label
_atom_site_type_symbol
_atom_site_fract_x
_atom_site_fract_y
_atom_site_fract_z
_atom_site_occupancy
Tl1 Tl 0.000 0.000 0.000 1
Ru1 Ru 0.000 0.500 0.500 1
Ru2 Ru 0.500 0.000 0.500 1
Ru3 Ru 0.500 0.500 0.000 1
C1 C 0.500 0.500 0.500 1
```

The calculation puts the electronic total energy at -7.54 eV per atom. For the excess energy over the best structure of this formula in the dataset, the calculation gives 0 meV/atom. The space-group type is Pm-3m. The value obtained for the energy relative to the elements is 341 meV per atom.

Record 2
A plane-wave DFT calculation with PBE-GGA was carried out for Tm2TlRuC after structural relaxation.

Geometry as CIF:
```
data_Tm2TlRuC
_space_group_name_H-M_alt 'P 1'
_space_group_IT_number 1
_cell_length_a 4.951
_cell_length_b 4.951
_cell_length_c 3.957
_cell_angle_alpha 90.00
_cell_angle_beta 90.00
_cell_angle_gamma 90.00
loop_
_space_group_symop_operation_xyz
'x,y,z'
loop_
_atom_site_label
_atom_site_type_symbol
_atom_site_fract_x
_atom_site_fract_y
_atom_site_fract_z
_atom_site_occupancy
Tm1 Tm 0.000 0.500 0.000 1
Tm2 Tm 0.500 0.000 0.000 1
Tl1 Tl 0.000 0.000 0.500 1
Ru1 Ru 0.500 0.500 0.500 1
C1 C 0.500 0.500 0.000 1
```

The calculation puts the electronic total energy at -6.34 eV per atom. The space-group type is P4/mmm. The value obtained for the energy relative to the elements is -379 meV per atom.

Record 3
A plane-wave DFT calculation with PBE-GGA was carried out for TmRu3C after structural relaxation.

Geometry as CIF:
```
data_TmRu3C
_space_group_name_H-M_alt 'P 1'
_space_group_IT_number 1
_cell_length_a 4.142
_cell_length_b 4.142
_cell_length_c 4.142
_cell_angle_alpha 90.00
_cell_angle_beta 90.00
_cell_angle_gamma 90.00
loop_
_space_group_symop_operation_xyz
'x,y,z'
loop_
_atom_site_label
_atom_site_type_symbol
_atom_site_fract_x
_atom_site_fract_y
_atom_site_fract_z
_atom_site_occupancy
Tm1 Tm 0.000 0.000 0.000 1
Ru1 Ru 0.000 0.500 0.500 1
Ru2 Ru 0.500 0.000 0.500 1
Ru3 Ru 0.500 0.500 0.000 1
C1 C 0.500 0.500 0.500 1
```

The calculation puts the electronic total energy at -8.56 eV per atom. The space-group type is Pm-3m. The value obtained for the energy relative to the elements is -258 meV per atom.

Record 4
A plane-wave DFT calculation with PBE-GGA was carried out for TmRu2C after structural relaxation.

Geometry as CIF:
```
data_TmRu2C
_space_group_name_H-M_alt 'P 1'
_space_group_IT_number 1
_cell_length_a 3.229
_cell_length_b 3.229
_cell_length_c 20.180
_cell_angle_alpha 90.00
_cell_angle_beta 90.00
_cell_angle_gamma 120.00
loop_
_space_group_symop_operation_xyz
'x,y,z'
loop_
_atom_site_label
_atom_site_type_symbol
_atom_site_fract_x
_atom_site_fract_y
_atom_site_fract_z
_atom_site_occupancy
Tm1 Tm 0.000 0.000 0.000 1
Tm2 Tm 0.333 0.667 0.667 1
Tm3 Tm 0.667 0.333 0.333 1
Ru1 Ru 0.000 0.000 0.217 1
Ru2 Ru 0.000 0.000 0.783 1
Ru3 Ru 0.333 0.667 0.450 1
Ru4 Ru 0.333 0.667 0.884 1
Ru5 Ru 0.667 0.333 0.116 1
Ru6 Ru 0.667 0.333 0.550 1
C1 C 0.000 0.000 0.500 1
C2 C 0.333 0.667 0.167 1
C3 C 0.667 0.333 0.833 1
```

The calculation puts the electronic total energy at -7.85 eV per atom. For the excess energy over the best structure of this formula in the dataset, the calculation gives 330 meV/atom. The space-group type is R-3m. The value obtained for the energy relative to the elements is 215 meV per atom.